Here is a relaxed structure of BaSrRe2 from Alexandria. Energies are from PBEsol.

Cell and atoms, written as POSCAR:
```
BaSrRe2
1.0
4.992 0.000 0.000
2.496 4.323 0.000
2.496 1.441 4.076
Ba Re Sr
1 2 1
Direct
0.250 0.250 0.250 Ba
0.750 0.750 0.750 Re
0.000 0.000 0.000 Re
0.500 0.500 0.500 Sr
```

crystal system	cubic
ΔE to the lowest computed polymorph	716.5	meV/atom
formation energy	1481	meV per atom